A geometry-optimized LaPmEr6 structure, computed with PBE.

It has space group C2/m (No. 12), with a = 10.374 Å, b = 6.640 Å, c = 8.495 Å, α = 90.00°, β = 105.26° and γ = 90.00°. The distinct sites, in fractional coordinates, are La at (0.000, 0.000, 0.000), Pm at (0.000, 0.000, 0.500), Er at (0.122, 0.500, 0.420) and Er at (0.199, 0.258, 0.797).

The formation energy is 371 meV/atom. Its polymorph energy (0 for the lowest one) is 0 meV/atom. Its crystal system is monoclinic. The size of the total moment is 0.00 μB/atom.

---

A geometry-optimized Tl9BiSb2 structure, computed with PBE.

It has space group P4/mmm (No. 123), with a = 4.984 Å, b = 4.984 Å, c = 14.965 Å, α = 90.00°, β = 90.00° and γ = 90.00°. The distinct sites, in fractional coordinates, are Tl at (0.000, 0.000, 0.000), Tl at (0.000, 0.000, 0.334), Tl at (0.000, 0.500, 0.170), Tl at (0.000, 0.500, 0.500), Bi at (0.500, 0.500, 0.000) and Sb at (0.500, 0.500, 0.334).

The formation energy from raw total energies comes out at -11 meV/atom. Its crystal system is tetragonal. The size of the total moment is 0.00 μB/atom.

---

A geometry-optimized LaCe5In6 structure, computed with PBE.

It has space group Immm (No. 71), with a = 4.840 Å, b = 9.462 Å, c = 14.531 Å, α = 90.00°, β = 90.00° and γ = 90.00°. The distinct sites, in fractional coordinates, are La at (0.000, 0.000, 0.000), Ce at (0.000, 0.000, 0.332), Ce at (0.000, 0.500, 0.000), Ce at (0.000, 0.500, 0.328), In at (0.000, 0.248, 0.500) and In at (0.000, 0.250, 0.167).

The formation energy is -381 meV/atom. Its crystal system is orthorhombic. The size of the total moment is 0.44 μB/atom.

---

A geometry-optimized TbPm2Nd4Th structure, computed with PBE.

It has space group P2/m (No. 10), with a = 6.099 Å, b = 6.114 Å, c = 7.327 Å, α = 90.00°, β = 90.13° and γ = 90.00°. The distinct sites, in fractional coordinates, are Tb at (0.000, 0.000, 0.000), Pm at (0.000, 0.000, 0.500), Pm at (0.500, 0.500, 0.000), Nd at (0.000, 0.500, 0.255), Nd at (0.500, 0.000, 0.255) and Th at (0.500, 0.500, 0.500).

The formation energy is 133 meV/atom. Its crystal system is monoclinic. The size of the total moment is 0.00 μB/atom.